# 1
KPbF6, relaxed, DFT GGA-PBE; energy relative to the elements, uncorrected = -1.8764 eV per atom; magnetic moment = 0.13 μB/atom; E_tot = -3.881 eV per atom
1.0
5.190 0.042 0.047
-0.526 5.163 0.047
-0.526 -0.586 5.130
F Pb K
6 1 1
direct
0.214 0.214 0.589
0.214 0.589 0.214
0.589 0.214 0.214
0.786 0.786 0.411
0.411 0.786 0.786
0.786 0.411 0.786
0.500 0.500 0.500
0.000 0.000 0.000

---

# 2
CoSnMo, relaxed, DFT GGA-PBE; formation energy = 128 meV per atom; magnetic moment = 0.33 μB/atom; E_tot = -7.185 eV per atom
1.0
4.173 0.000 0.000
2.086 3.614 0.000
2.086 1.205 3.407
Co Mo Sn
1 1 1
direct
0.250 0.250 0.250
0.500 0.500 0.500
0.000 0.000 0.000

---

# 3
RbPtF, relaxed, DFT GGA-PBE; energy relative to the elements, uncorrected = -0.1899 eV per atom; magnetic moment = 0.16 μB/atom; energy relative to the lowest polymorph listed for this composition = 1157 meV per atom; E_tot = -3.150 eV per atom
1.0
4.720 0.000 0.000
0.000 4.720 0.000
0.000 0.000 6.612
Pt Rb F
2 2 2
direct
0.000 0.500 0.625
0.500 0.000 0.375
0.500 0.000 0.831
0.000 0.500 0.169
0.000 0.000 0.500
0.500 0.500 0.500

---

# 4
NiAg3Au, relaxed, DFT GGA-PBE; formation energy = 1134 meV per atom; magnetic moment = 0.13 μB/atom; energy relative to the lowest polymorph listed for this composition = 326 meV per atom; E_tot = -2.388 eV per atom
1.0
-1.906 -4.467 -1.641
3.082 -2.506 3.242
-3.627 0.219 3.617
Ag Au Ni
3 1 1
direct
0.000 0.000 0.500
0.500 0.000 0.000
0.000 0.500 0.000
0.000 0.000 0.000
0.500 0.500 0.500

---

# 5
GaCu2TeI, relaxed, DFT GGA-PBE; energy relative to the elements, uncorrected = 0.1678 eV per atom; magnetic moment = 0.00 μB/atom; E_tot = -3.014 eV per atom
1.0
4.849 0.000 0.000
0.000 6.578 0.000
0.000 0.000 4.849
Te I Cu Ga
1 1 2 1
direct
0.000 0.000 0.000
0.500 0.500 0.500
0.500 0.000 0.000
0.000 0.000 0.500
0.000 0.500 0.000

---

# 6
Tm4CdAgAu2, relaxed, DFT GGA-PBE; formation energy = -597 meV per atom; magnetic moment = 0.00 μB/atom; E_tot = -4.123 eV per atom
1.0
5.082 0.000 0.000
2.541 4.401 0.000
2.541 1.467 8.287
Cd Au Ag Tm
1 2 1 4
direct
0.000 0.000 0.000
0.253 0.253 0.240
0.747 0.747 0.760
0.500 0.500 0.500
0.127 0.127 0.618
0.622 0.622 0.133
0.873 0.873 0.382
0.378 0.378 0.867